Entry 1:
GdNpBi2 | PBE-GGA | relaxed

Cell: 3.4125 5.8383 5.8383 Å, 90.00 90.00 90.00°
Last column: magnetic moment on the atom in μB.
Atoms (fractional coordinates):
Np 0.5000 0.5000 0.5000  4.30
Gd 0.5000 0.0000 0.0000  7.29
Bi 0.0000 0.0000 0.5000  -0.09
Bi 0.0000 0.5000 0.0000  -0.09

Summary:
calculated density = 11.6 g cm⁻³
E_tot = -36.000 eV per formula unit
ΔH_f (0 K) = -0.3041 eV per atom

***

Entry 2:
Nd2Dy5Pd4 | PBE-GGA | relaxed

Cell: 3.6358 6.8225 12.5722 Å, 86.00 98.31 90.00°
Atoms (fractional coordinates):
Nd 0.9066 0.6799 0.8132
Pd 0.3265 0.4937 0.6530
Pd 0.9742 0.3136 0.9485
Nd 0.0934 0.3201 0.1868
Dy 0.1330 0.8113 0.2661
Dy 0.5000 0.0000 0.0000
Pd 0.6735 0.5063 0.3470
Dy 0.8670 0.1887 0.7339
Dy 0.2372 0.2489 0.4743
Pd 0.0258 0.6864 0.0515
Dy 0.7628 0.7511 0.5257

Summary:
calculated density = 8.2 g cm⁻³
E_tot = -57.627 eV per formula unit
ΔH_f (0 K) = -0.3918 eV per atom

***

Entry 3:
Pr2SnH | PBE-GGA | relaxed

Cell: 4.3689 5.0135 9.0973 Å, 105.99 90.00 90.00°
Atoms (fractional coordinates):
H 0.5000 0.5549 0.1099
Sn 0.0000 0.8521 0.7042
Pr 0.5000 0.0000 0.0000
Pr 0.5000 0.3174 0.6347
Sn 0.0000 0.1479 0.2958
Pr 0.0000 0.5000 0.0000
Pr 0.5000 0.6826 0.3653
H 0.5000 0.4451 0.8901

Summary:
calculated density = 7.0 g cm⁻³
E_tot = -19.182 eV per formula unit

***

Which value of E_tot does entry 3 give?
-19.182 eV per formula unit

***

What is the calculated density in the first record?
11.6 g cm⁻³

***

Which value of E_tot does entry 1 give?
-36.000 eV per formula unit

***

Which of these has the lowest E_tot?
Nd2Dy5Pd4